# 1
RbSc2Ge | GGA-PBE | optimized geometry

Cell: 9.7833 9.7833 9.7833 Å, 143.02 143.02 53.30°
Element x y z (fractional)
Rb  0.3750  0.6250  0.7500
Rb  0.6250  0.3750  0.2500
Sc  0.0000  0.0000  0.0000
Sc  0.0000  0.0000  0.5000
Sc  0.0000  0.5000  0.0000
Sc  0.5000  0.0000  0.5000
Ge  0.1250  0.8750  0.2500
Ge  0.8750  0.1250  0.7500

Values from the calculation:
Calculated formation energy = 0.441 eV per atom

---

# 2
RbTcS2N | GGA-PBE | optimized geometry

Cell: 5.6315 5.6315 4.8994 Å, 90.00 90.00 90.00°
Element x y z (fractional)
Rb  0.0000  0.0000  0.0000
Tc  0.5000  0.5000  0.5000
S  0.0000  0.5000  0.0000
S  0.5000  0.0000  0.0000
N  0.0000  0.0000  0.5000

Values from the calculation:
Excess energy over the best structure of this formula in the dataset = 2437 meV per atom

---

# 3
Nd3TeH | GGA-PBE | optimized geometry

Cell: 4.9451 4.9451 4.9451 Å, 90.00 90.00 90.00°
Element x y z (fractional)
Nd  0.0000  0.0000  0.5000
Nd  0.0000  0.5000  0.0000
Nd  0.5000  0.0000  0.0000
Te  0.5000  0.5000  0.5000
H  0.0000  0.0000  0.0000

Values from the calculation:
Excess energy over the best structure of this formula in the dataset = 56 meV per atom